An optimized crystal structure of Cd2HgOs, computed with GGA-PBE.

```
Cd2HgOs
1.0
-3.9713 -0.9336 -3.1870
4.9578 -4.2901 0.4200
-0.5519 -2.6222 1.4360
Cd Os Hg
2 1 1
Direct
0.0000 0.5000 0.5000 Cd
0.0000 0.0000 0.0000 Cd
0.5000 0.0000 0.5000 Os
0.5000 0.5000 0.0000 Hg
```

Values from the calculation:
- DOS(E_F): 1.710 states/eV/f.u.
- SG: C2/m, No. 12
- Theoretical density: 13463 kg/m3
- Crystal system: monoclinic
- V: 18.98 A^3/atom
- Energy of formation from the pure elements: 515 meV per atom

=====

An optimized crystal structure of Zr2BHRu, computed with GGA-PBE.

```
Zr2BHRu
1.0
-1.8571 1.2404 4.4677
-3.6701 -0.9208 -1.2699
0.6361 -4.6991 1.5690
Zr H B Ru
2 1 1 1
Direct
0.5000 0.0000 0.0000 Zr
0.0000 0.0000 0.5000 Zr
0.5000 0.5000 0.5000 H
0.0000 0.5000 0.0000 B
0.0000 0.0000 0.0000 Ru
```

Values from the calculation:
- DOS(E_F): 3.202 states/eV/f.u.
- SG: P4/mmm, No. 123
- Theoretical density: 4925 kg/m3
- Crystal system: tetragonal
- V: 19.91 A^3/atom
- E above lowest polymorph: 0.5951 eV/atom

=====

An optimized crystal structure of PmCdHgGe, computed with GGA-PBE.

```
PmCdHgGe
1.0
5.1307 0.0000 0.0000
2.5653 4.4433 0.0000
2.5653 1.4811 4.1892
Pm Ge Hg Cd
1 1 1 1
Direct
0.2500 0.2500 0.2500 Pm
0.5000 0.5000 0.5000 Ge
0.0000 0.0000 0.0000 Hg
0.7500 0.7500 0.7500 Cd
```

Values from the calculation:
- DOS(E_F): 3.466 states/eV/f.u.
- SG: F-43m, No. 216
- Theoretical density: 9227 kg/m3
- Crystal system: cubic
- V: 23.88 A^3/atom
- Energy of formation from the pure elements: -299 meV per atom

=====

An optimized crystal structure of LiHfPdPt, computed with GGA-PBE.

```
LiHfPdPt
1.0
4.5065 0.0000 0.0000
2.2533 3.9027 0.0000
2.2533 1.3009 3.6795
Li Hf Pt Pd
1 1 1 1
Direct
0.5000 0.5000 0.5000 Li
0.0000 0.0000 0.0000 Hf
0.7500 0.7500 0.7500 Pt
0.2500 0.2500 0.2500 Pd
```

Values from the calculation:
- DOS(E_F): 2.769 states/eV/f.u.
- SG: F-43m, No. 216
- Theoretical density: 12494 kg/m3
- Crystal system: cubic
- V: 16.18 A^3/atom
- Energy of formation from the pure elements: -820 meV per atom

=====

What is the formula in the third record? PmCdHgGe

=====

Number 2 is which compound? Zr2BHRu